Record 1
A relaxed Tb3Dy3Ga4 crystal. Source: Alexandria via LeMat-Bulk, functional PBE-GGA.

a b c (Å): 4.3574 7.6461 7.6461
angles (deg): 89.90 90.00 90.00
Element x y z (fractional)
Tb: 0.5000 0.8260 0.1740
Tb: 0.5000 0.3256 0.3259
Tb: 0.5000 0.6741 0.6744
Dy: 0.0000 0.4998 0.0000
Dy: 0.0000 0.0000 0.5002
Dy: 0.5000 0.1744 0.8256
Ga: 0.0000 0.6196 0.3804
Ga: 0.0000 0.3797 0.6203
Ga: 0.0000 0.8807 0.8801
Ga: 0.0000 0.1199 0.1193

## Properties
Total moment ... 0.000 μB/atom
DFT formation energy ... -5.19 eV/f.u.
Fermi-level density of states ... 12.0 states/eV/f.u.
Crystal system ... orthorhombic


Record 2
A relaxed AgCSeBr2 crystal. Source: Alexandria via LeMat-Bulk, functional PBE-GGA.

a b c (Å): 5.2327 5.2327 5.2679
angles (deg): 90.00 90.00 90.00
Each line ends with the local moment (μB).
Element x y z (fractional)
C: 0.5000 0.5000 0.5000  0.85
Se: 0.0000 0.0000 0.5000  -0.77
Br: 0.0000 0.5000 0.0000  -0.08
Br: 0.5000 0.0000 0.0000  -0.08
Ag: 0.0000 0.0000 0.0000  -0.04

## Properties
Total moment ... 0.043 μB/atom
Uncorrected formation energy ... 1672 meV/atom
Fermi-level density of states ... 3.7 states/eV/f.u.
Crystal system ... tetragonal
Energy above the most stable polymorph in this dataset ... 659 meV per atom